[1]
DFT (GGA-PBE) results for a geometry-optimized V2Co2Ir structure.

abc: 6.6299 6.6299 2.8055
angles: 90.00 90.00 90.00
Sites, in units of the cell vectors:
Co1 0.1271 0.3729 0.0000
Co2 0.6271 0.1271 0.0000
Co3 0.3729 0.8729 0.0000
Co4 0.8729 0.6271 0.0000
V1 0.6752 0.8248 0.5000
V2 0.8248 0.3248 0.5000
V3 0.1752 0.6752 0.5000
V4 0.3248 0.1752 0.5000
Ir1 0.0000 0.0000 0.0000
Ir2 0.5000 0.5000 0.0000

Summary:
SG: P4/mbm
Calculated volume, Å³/atom: 12.332
Energy, eV per atom: -8.505
Energy relative to the elements, eV/atom: -0.243
Distance to the lowest polymorph of the same formula, eV/f.u.: 0.00

[2]
DFT (GGA-PBE) results for a geometry-optimized TbNd3Y2Tm6 structure.

abc: 6.1702 6.1702 11.7208
angles: 95.02 95.02 119.97
Sites, in units of the cell vectors:
Nd1 0.8331 0.1669 0.5000
Nd2 0.5000 0.5000 0.5000
Nd3 0.1669 0.8331 0.5000
Tm1 0.0825 0.4151 0.2474
Tm2 0.5849 0.9175 0.7526
Tm3 0.2501 0.2501 0.7524
Tm4 0.7499 0.7499 0.2476
Tm5 0.9175 0.5849 0.7526
Tm6 0.4151 0.0825 0.2474
Tb1 0.0000 0.0000 0.0000
Y1 0.3334 0.6666 0.0000
Y2 0.6666 0.3334 0.0000

Summary:
SG: C2/m
Calculated volume, Å³/atom: 31.717
Energy, eV per atom: -4.867
Energy relative to the elements, eV/atom: 0.024

[3]
DFT (GGA-PBE) results for a geometry-optimized Sr3AcCd2 structure.

abc: 5.6383 7.7717 10.6788
angles: 90.00 90.00 90.00
Sites, in units of the cell vectors:
Cd1 0.5000 0.7204 0.8584
Cd2 0.0000 0.2771 0.6325
Cd3 0.5000 0.2204 0.1416
Cd4 0.0000 0.7771 0.3675
Ac1 0.5000 0.5319 0.5560
Ac2 0.5000 0.0319 0.4440
Sr1 0.0000 0.9699 0.0616
Sr2 0.0000 0.4699 0.9384
Sr3 0.0000 0.8378 0.6836
Sr4 0.0000 0.3378 0.3164
Sr5 0.5000 0.6629 0.1830
Sr6 0.5000 0.1629 0.8170

Summary:
SG: Pmc2_1
Calculated volume, Å³/atom: 38.995
Energy, eV per atom: -2.014
Energy relative to the elements, eV/atom: -0.184

[4]
DFT (GGA-PBE) results for a geometry-optimized Pa2Ga9Pb structure.

abc: 4.3323 4.3323 13.2269
angles: 90.00 90.00 90.00
Sites, in units of the cell vectors:
Ga1 0.5000 0.5000 0.0000
Ga2 0.5000 0.5000 0.3443
Ga3 0.5000 0.0000 0.5000
Ga4 0.0000 0.5000 0.5000
Ga5 0.0000 0.5000 0.8230
Ga6 0.5000 0.0000 0.1770
Ga7 0.0000 0.5000 0.1770
Ga8 0.5000 0.5000 0.6557
Ga9 0.5000 0.0000 0.8230
Pb1 0.0000 0.0000 0.0000
Pa1 0.0000 0.0000 0.3399
Pa2 0.0000 0.0000 0.6601

Summary:
SG: P4/mmm
Calculated volume, Å³/atom: 20.688
Energy, eV per atom: -4.338
Energy relative to the elements, eV/atom: -0.176

[5]
DFT (GGA-PBE) results for a geometry-optimized TmZnNi5 structure.

abc: 4.7755 7.8513 9.9538
angles: 90.00 90.00 90.00
Last column: magnetic moment on the atom in μB.
Sites, in units of the cell vectors:
Tm1 0.7500 0.2548 0.4401  -0.03
Tm2 0.2500 0.7452 0.5599  -0.03
Tm3 0.7500 0.7548 0.0599  -0.03
Tm4 0.2500 0.2452 0.9401  -0.03
Ni1 0.2500 0.6864 0.2496  0.19
Ni2 0.2500 0.5949 0.0177  0.10
Ni3 0.5043 0.4329 0.1916  0.16
Ni4 0.7500 0.0524 0.9039  0.06
Ni5 0.5043 0.9329 0.3084  0.16
Ni6 0.0043 0.0671 0.6916  0.16
Ni7 0.2500 0.1864 0.2504  0.19
Ni8 0.7500 0.9051 0.5177  0.10
Ni9 0.7500 0.5524 0.5961  0.06
Ni10 0.9957 0.4329 0.1916  0.16
Ni11 0.4957 0.0671 0.6916  0.16
Ni12 0.7500 0.3136 0.7504  0.19
Ni13 0.2500 0.0949 0.4823  0.10
Ni14 0.7500 0.8136 0.7496  0.19
Ni15 0.7500 0.4051 0.9823  0.10
Ni16 0.0043 0.5671 0.8084  0.16
Ni17 0.2500 0.9476 0.0961  0.06
Ni18 0.4957 0.5671 0.8084  0.16
Ni19 0.9957 0.9329 0.3084  0.16
Ni20 0.2500 0.4476 0.4039  0.06
Zn1 0.2500 0.8600 0.8582  -0.01
Zn2 0.7500 0.1400 0.1418  -0.01
Zn3 0.7500 0.6400 0.3582  -0.01
Zn4 0.2500 0.3600 0.6418  -0.01

Summary:
SG: Pnma
Calculated volume, Å³/atom: 13.329
Energy, eV per atom: -5.275
Energy relative to the elements, eV/atom: -0.325

[6]
DFT (GGA-PBE) results for a geometry-optimized CePuSc2Sb4 structure.

abc: 4.3291 7.4391 7.4879
angles: 70.37 90.00 90.00
Last column: magnetic moment on the atom in μB.
Sites, in units of the cell vectors:
Sb1 0.0000 0.2318 0.2546  -0.06
Sb2 0.0000 0.7682 0.7454  -0.06
Sb3 0.5000 0.2303 0.7575  -0.03
Sb4 0.5000 0.7697 0.2425  -0.03
Ce1 0.0000 0.5000 0.5000  0.62
Sc1 0.5000 0.0000 0.5000  -0.03
Sc2 0.0000 0.0000 0.0000  0.01
Pu1 0.5000 0.5000 0.0000  5.25

Summary:
SG: P2/m
Calculated volume, Å³/atom: 28.390
Energy, eV per atom: -7.056

[7]
DFT (GGA-PBE) results for a geometry-optimized DyCo2Si3 structure.

abc: 5.0154 5.9410 5.9410
angles: 104.46 90.00 90.00
Sites, in units of the cell vectors:
Si1 0.2500 0.5265 0.9032
Si2 0.2500 0.9356 0.9356
Si3 0.2500 0.9032 0.5265
Si4 0.7500 0.0968 0.4735
Si5 0.7500 0.4735 0.0968
Si6 0.7500 0.0644 0.0644
Dy1 0.7500 0.6631 0.6631
Dy2 0.2500 0.3369 0.3369
Co1 0.5000 0.1998 0.8002
Co2 0.0000 0.8002 0.1998
Co3 0.0000 0.1998 0.8002
Co4 0.5000 0.8002 0.1998

Summary:
SG: Cmcm
Calculated volume, Å³/atom: 14.284
Energy, eV per atom: -6.522
Distance to the lowest polymorph of the same formula, eV/f.u.: 0.09

[8]
DFT (GGA-PBE) results for a geometry-optimized NaSiS2N structure.

abc: 5.0525 5.0525 3.2525
angles: 90.00 90.00 90.00
Sites, in units of the cell vectors:
Na1 0.5000 0.5000 0.5000
S1 0.5000 0.0000 0.0000
S2 0.0000 0.5000 0.0000
Si1 0.0000 0.0000 0.0000
N1 0.0000 0.0000 0.5000

Summary:
SG: P4/mmm
Calculated volume, Å³/atom: 16.606
Energy, eV per atom: -4.703
Distance to the lowest polymorph of the same formula, eV/f.u.: 0.00

[9]
DFT (GGA-PBE) results for a geometry-optimized SrTl2Zn structure.

abc: 6.1140 6.1140 6.1140
angles: 137.38 129.55 68.12
Sites, in units of the cell vectors:
Tl1 0.9928 0.9928 0.0000
Tl2 0.7203 0.2203 0.5000
Zn1 0.5214 0.5214 0.0000
Sr1 0.2655 0.7655 0.5000

Summary:
SG: Imm2
Calculated volume, Å³/atom: 29.325
Energy, eV per atom: -2.066
Energy relative to the elements, eV/atom: -0.144

[10]
DFT (GGA-PBE) results for a geometry-optimized Hf2InRu structure.

abc: 7.7328 7.7328 6.1725
angles: 51.22 51.22 90.00
Sites, in units of the cell vectors:
Ru1 0.5000 0.5000 0.0000
Ru2 0.2500 0.7500 0.5000
In1 0.7500 0.2500 0.5000
In2 0.0000 0.0000 0.0000
Hf1 0.8750 0.8202 0.7500
Hf2 0.5702 0.1250 0.2500
Hf3 0.3750 0.4298 0.7500
Hf4 0.1798 0.6250 0.2500

Summary:
SG: I-42d
Calculated volume, Å³/atom: 21.407
Energy, eV per atom: -7.913
Energy relative to the elements, eV/atom: 0.067

[11]
DFT (GGA-PBE) results for a geometry-optimized Rb3Ni5Br12 structure.

abc: 14.5501 14.5501 14.5501
angles: 109.47 109.47 109.47
Last column: magnetic moment on the atom in μB.
Sites, in units of the cell vectors:
Ni1 0.5000 0.0000 0.0000  1.32
Ni2 0.6250 0.7500 0.8750  1.32
Ni3 0.3750 0.1250 0.7500  1.32
Ni4 0.5000 0.0000 0.5000  1.32
Ni5 0.2500 0.3750 0.6250  1.32
Ni6 0.8750 0.6250 0.7500  1.32
Ni7 0.0000 0.5000 0.5000  1.32
Ni8 0.7500 0.6250 0.3750  1.32
Ni9 0.8750 0.2500 0.6250  1.32
Ni10 0.0000 0.0000 0.0000  1.32
Ni11 0.1250 0.3750 0.2500  1.32
Ni12 0.3750 0.2500 0.1250  1.32
Ni13 0.5000 0.5000 0.5000  1.32
Ni14 0.5000 0.5000 0.0000  1.32
Ni15 0.1250 0.7500 0.3750  1.32
Ni16 0.0000 0.0000 0.5000  1.32
Ni17 0.2500 0.8750 0.1250  1.32
Ni18 0.6250 0.8750 0.2500  1.32
Ni19 0.7500 0.1250 0.8750  1.32
Ni20 0.0000 0.5000 0.0000  1.32
Rb1 0.7500 0.8750 0.6250  0.00
Rb2 0.2500 0.1250 0.3750  0.00
Rb3 0.3750 0.6250 0.2500  0.00
Rb4 0.7500 0.3750 0.1250  0.00
Rb5 0.8750 0.1250 0.2500  0.00
Rb6 0.6250 0.3750 0.7500  0.00
Rb7 0.8750 0.7500 0.1250  0.00
Rb8 0.1250 0.8750 0.7500  0.00
Rb9 0.3750 0.7500 0.6250  0.00
Rb10 0.1250 0.2500 0.8750  0.00
Rb11 0.2500 0.6250 0.8750  0.00
Rb12 0.6250 0.2500 0.3750  0.00
Br1 0.8959 0.3096 0.4930  0.15
Br2 0.1041 0.4137 0.0970  0.15
Br3 0.0070 0.4030 0.8167  0.15
Br4 0.3167 0.8096 0.4137  0.15
Br5 0.3959 0.4030 0.0863  0.15
Br6 0.1904 0.5070 0.6041  0.15
Br7 0.9030 0.8167 0.5070  0.15
Br8 0.8167 0.9137 0.3096  0.15
Br9 0.0970 0.1833 0.4930  0.15
Br10 0.4930 0.6833 0.0970  0.15
Br11 0.5070 0.3167 0.9030  0.15
Br12 0.6041 0.0070 0.1904  0.15
Br13 0.4137 0.3096 0.3167  0.15
Br14 0.4030 0.3959 0.5863  0.15
Br15 0.4030 0.0070 0.3167  0.15
Br16 0.8959 0.5863 0.9030  0.15
Br17 0.3096 0.8959 0.9930  0.15
Br18 0.0863 0.1833 0.1904  0.15
Br19 0.1833 0.0863 0.6904  0.15
Br20 0.9930 0.3959 0.3096  0.15
Br21 0.9137 0.8167 0.8096  0.15
Br22 0.9930 0.5970 0.1833  0.15
Br23 0.6041 0.5970 0.9137  0.15
Br24 0.3096 0.4137 0.8167  0.15
Br25 0.8167 0.9030 0.0070  0.15
Br26 0.9030 0.0863 0.8959  0.15
Br27 0.1904 0.6833 0.0863  0.15
Br28 0.4137 0.1041 0.5970  0.15
Br29 0.5070 0.1904 0.1041  0.15
Br30 0.3167 0.5070 0.4030  0.15
Br31 0.6833 0.4930 0.5970  0.15
Br32 0.0863 0.9030 0.3959  0.15
Br33 0.5970 0.6041 0.4137  0.15
Br34 0.6904 0.5863 0.1833  0.15
Br35 0.1833 0.0970 0.9930  0.15
Br36 0.4930 0.8096 0.8959  0.15
Br37 0.8096 0.4930 0.3959  0.15
Br38 0.5863 0.6904 0.6833  0.15
Br39 0.6904 0.1041 0.0070  0.15
Br40 0.3959 0.9930 0.8096  0.15
Br41 0.8096 0.3167 0.9137  0.15
Br42 0.0970 0.9137 0.1041  0.15
Br43 0.5970 0.9930 0.6833  0.15
Br44 0.6833 0.1904 0.5863  0.15
Br45 0.9137 0.0970 0.6041  0.15
Br46 0.0070 0.6041 0.6904  0.15
Br47 0.5863 0.8959 0.4030  0.15
Br48 0.1041 0.6904 0.5070  0.15

Summary:
SG: Ia-3d
Calculated volume, Å³/atom: 29.641
Energy, eV per atom: -3.234

[12]
DFT (GGA-PBE) results for a geometry-optimized CsBa3S structure.

abc: 6.5142 6.5142 6.5142
angles: 90.00 90.00 90.00
Sites, in units of the cell vectors:
Ba1 0.0000 0.5000 0.0000
Ba2 0.0000 0.0000 0.5000
Ba3 0.5000 0.0000 0.0000
Cs1 0.5000 0.5000 0.5000
S1 0.0000 0.0000 0.0000

Summary:
SG: Pm-3m
Calculated volume, Å³/atom: 55.286
Energy, eV per atom: -2.764
Distance to the lowest polymorph of the same formula, eV/f.u.: 0.00